# 1
BaCr2Sb: optimized geometry, GGA-PBE.

a = 4.481 Å, b = 4.481 Å, c = 6.481 Å
α = 109.95°, β = 109.95°, γ = 59.96°
Sites, in units of the cell vectors:
Ba: 0.000 0.000 0.000
Cr: 0.174 0.174 0.523
Cr: 0.826 0.826 0.477
Sb: 0.500 0.500 0.500

Values from the calculation:
The value obtained for the uncorrected formation energy is 0.3256 eV per atom. For the calculated total energy, the calculation gives -5.997 eV per atom.


# 2
BaCr2Sb: optimized geometry, GGA-PBE.

a = 6.660 Å, b = 6.660 Å, c = 6.660 Å
α = 40.08°, β = 40.08°, γ = 40.08°
Sites, in units of the cell vectors:
Ba: 0.000 0.000 0.000
Cr: 0.481 0.481 0.481
Cr: 0.801 0.801 0.801
Sb: 0.193 0.193 0.193

Values from the calculation:
The value obtained for the uncorrected formation energy is -0.0081 eV per atom. For the calculated total energy, the calculation gives -6.331 eV per atom.


# 3
BaCr2Sb: optimized geometry, GGA-PBE.

a = 3.401 Å, b = 4.327 Å, c = 7.161 Å
α = 90.00°, β = 94.45°, γ = 90.00°
Sites, in units of the cell vectors:
Ba: 0.000 0.000 0.000
Cr: 0.435 0.000 0.450
Cr: 0.899 0.500 0.396
Sb: 0.450 0.500 0.703

Values from the calculation:
The value obtained for the uncorrected formation energy is 0.2323 eV per atom. For the calculated total energy, the calculation gives -6.091 eV per atom.